{
  "formula": "CoNiHgF6",
  "functional": "GGA+U",
  "state": "optimized geometry",
  "final_energy_ev_per_atom": -4.04,
  "m_tot_mub_per_cell": 10.00,
  "lattice_angstrom": [[5.3721, 0.0000, 0.0000], [-2.6860, 4.6524, 0.0000], [0.0000, 0.0000, 9.8151]],
  "species": ["Co", "Co", "Ni", "Ni", "Hg", "Hg", "F", "F", "F", "F", "F", "F", "F", "F", "F", "F", "F", "F"],
  "fractional_positions": [[0.3333, 0.6667, 0.2500], [0.6667, 0.3333, 0.7500], [0.3333, 0.6667, 0.7500], [0.6667, 0.3333, 0.2500], [0.0000, 0.0000, 0.0000], [0.0000, 0.0000, 0.5000], [0.0038, 0.3595, 0.6392], [0.0038, 0.6442, 0.8608], [0.3558, 0.3595, 0.8608], [0.3558, 0.9962, 0.6392], [0.3595, 0.0038, 0.1392], [0.3595, 0.3558, 0.3608], [0.6405, 0.6442, 0.6392], [0.6405, 0.9962, 0.8608], [0.6442, 0.0038, 0.3608], [0.6442, 0.6405, 0.1392], [0.9962, 0.3558, 0.1392], [0.9962, 0.6405, 0.3608]]
}